Below is an optimized crystal structure of Ti2HgMoPt, with properties calculated at the PBE-GGA level.

Lattice parameters (Å, degrees): 4.721 4.721 4.871 90.00 90.00 90.00
Fractional coordinates of all 5 atoms:
Ti 0.000 0.500 0.000
Ti 0.500 0.000 0.000
Hg 0.000 0.000 0.500
Mo 0.500 0.500 0.000
Pt 0.500 0.500 0.500

Output
SG   P4/mmm, No. 123
M_tot   0.00 μB per formula unit
Formation energy   0.696 eV per atom